The following is a DFT calculation (PBE) of a relaxed PmSmHo2Tl4 crystal.

Lattice parameters (Å, degrees): 9.385 9.385 9.385 33.50 33.50 33.50
Fractional coordinates of all 8 atoms:
1 Pm 0.000 0.000 0.000
2 Sm 0.500 0.500 0.500
3 Ho 0.250 0.250 0.250
4 Ho 0.750 0.750 0.750
5 Tl 0.125 0.125 0.125
6 Tl 0.375 0.375 0.375
7 Tl 0.625 0.625 0.625
8 Tl 0.875 0.875 0.875

Output
Space-group type ... No. 166
ρ ... 10.7 g/cm³
Total energy ... -3.864 eV/atom
Energy relative to the elements ... -0.3523 eV per atom

---

The following is a DFT calculation (PBE) of a relaxed Pm6Sm3Ho2Tl crystal.

Lattice parameters (Å, degrees): 6.242 6.242 11.819 95.13 95.13 120.18
Fractional coordinates of all 12 atoms:
1 Pm 0.080 0.408 0.245
2 Pm 0.247 0.247 0.753
3 Pm 0.408 0.080 0.245
4 Pm 0.592 0.920 0.755
5 Pm 0.753 0.753 0.247
6 Pm 0.920 0.592 0.755
7 Sm 0.168 0.832 0.500
8 Sm 0.500 0.500 0.500
9 Sm 0.832 0.168 0.500
10 Ho 0.334 0.666 0.000
11 Ho 0.666 0.334 0.000
12 Tl 0.000 0.000 0.000

Output
Space-group type ... No. 12
ρ ... 7.9 g/cm³
Total energy ... -4.525 eV/atom
Energy relative to the elements ... -0.0094 eV per atom

---

The following is a DFT calculation (PBE) of a relaxed Pm2SmHoTl2 crystal.

Lattice parameters (Å, degrees): 5.180 10.177 6.905 90.00 90.00 90.00
Fractional coordinates of all 12 atoms:
1 Pm 0.000 0.044 0.000
2 Pm 0.000 0.956 0.500
3 Pm 0.500 0.184 0.276
4 Pm 0.500 0.816 0.776
5 Sm 0.500 0.457 0.907
6 Sm 0.500 0.543 0.407
7 Ho 0.000 0.313 0.626
8 Ho 0.000 0.687 0.126
9 Tl 0.000 0.371 0.167
10 Tl 0.000 0.629 0.667
11 Tl 0.500 0.142 0.743
12 Tl 0.500 0.858 0.243

Output
Space-group type ... No. 26
ρ ... 9.3 g/cm³
Total energy ... -4.193 eV/atom
Energy relative to the elements ... -0.2715 eV per atom